An optimized crystal structure of NpCrAuO6, computed with PBE+U.

The structure in CIF format:
```
data_NpCrAuO6
_chemical_formula_sum 'Np2 Cr2 Au2 O12'
_cell_length_a 5.3590
_cell_length_b 5.3590
_cell_length_c 9.4510
_cell_angle_alpha 90.00
_cell_angle_beta 90.00
_cell_angle_gamma 120.00
_space_group_name_H-M_alt 'P -3 1 c'
_space_group_IT_number 163
_space_group_name_Hall '-P 3 2c'
loop_
_atom_site_label
_atom_site_type_symbol
_atom_site_fract_x
_atom_site_fract_y
_atom_site_fract_z
Np1 Np 0.3333 0.6667 0.2500
Cr1 Cr 0.3333 0.6667 0.7500
Au1 Au 0.0000 0.0000 0.0000
O1 O 0.0050 0.3634 0.6374
```

E_tot   -7.588 eV/atom
D(E_F)   6.900 states/eV per cell